A.
{
  "formula": "PrTiSn2",
  "functional": "GGA-PBE",
  "state": "optimized geometry",
  "magmom_total_mub_per_cell": 0.00,
  "dos_ef_per_ev_atom": 1.09,
  "cell": [[-1.4690, -0.1369, 3.4697], [-1.6315, -3.2984, -0.8209], [5.6077, -3.3320, 2.2428]],
  "species": ["Pr", "Ti", "Sn", "Sn"],
  "fractional_positions": [[0.5000, 0.5000, 0.5000], [0.5000, 0.5000, 0.0000], [0.0000, 0.0000, 0.2075], [0.0000, 0.0000, 0.7925]]
}

***

B.
{
  "formula": "PrTiSn2",
  "functional": "GGA-PBE",
  "state": "optimized geometry",
  "magmom_total_mub_per_cell": 0.38,
  "dos_ef_per_ev_atom": 1.47,
  "cell": [[-1.4949, 1.3304, 2.6383], [0.5161, -1.2736, 3.0128], [8.3120, 6.8954, 3.3108]],
  "species": ["Ti", "Sn", "Sn", "Pr"],
  "fractional_positions": [[0.5000, 0.5000, 0.5000], [0.0978, 0.0978, 0.7065], [0.9022, 0.9022, 0.2935], [0.0000, 0.0000, 0.0000]]
}

***

Which of them is most stable? Easy: A.

***

A.
{
  "formula": "PrTlSn2",
  "functional": "GGA-PBE",
  "state": "optimized geometry",
  "magmom_total_mub_per_cell": 0.00,
  "dos_ef_per_ev_atom": 0.74,
  "cell": [[-2.7045, -3.2401, -0.6288], [1.3634, -0.3565, -4.0276], [4.5787, -4.1948, 1.9212]],
  "species": ["Sn", "Pr", "Sn", "Tl"],
  "fractional_positions": [[0.0000, 0.0000, 0.2637], [0.5000, 0.5000, 0.5000], [0.0000, 0.0000, 0.7363], [0.5000, 0.5000, 0.0000]]
}

***

B.
{
  "formula": "PrTlSn2",
  "functional": "GGA-PBE",
  "state": "optimized geometry",
  "magmom_total_mub_per_cell": 0.00,
  "dos_ef_per_ev_atom": 0.34,
  "cell": [[-3.4226, 3.4298, -0.7893], [-2.3757, -3.0189, -2.8170], [-2.4535, -1.5820, 3.7644]],
  "species": ["Sn", "Sn", "Pr", "Tl"],
  "fractional_positions": [[0.0000, 0.0000, 0.5000], [0.0000, 0.5000, 0.0000], [0.5000, 0.5000, 0.5000], [0.5000, 0.0000, 0.0000]]
}

***

C.
{
  "formula": "PrTlSn2",
  "functional": "GGA-PBE",
  "state": "optimized geometry",
  "magmom_total_mub_per_cell": 0.00,
  "dos_ef_per_ev_atom": 0.99,
  "cell": [[3.4620, 0.0000, 0.0000], [1.7310, 2.9982, 0.0000], [1.7310, 0.9994, 12.1880]],
  "species": ["Pr", "Sn", "Tl", "Sn"],
  "fractional_positions": [[0.0000, 0.0000, 0.0000], [0.9113, 0.9113, 0.2662], [0.5000, 0.5000, 0.5000], [0.0887, 0.0887, 0.7338]]
}

***

Which of them is most stable? Easy: B.

***

A.
{
  "formula": "Pr4Tl2Sn",
  "functional": "GGA-PBE",
  "state": "optimized geometry",
  "magmom_total_mub_per_cell": 0.00,
  "dos_ef_per_ev_atom": 1.26,
  "cell": [[5.2378, 0.0000, 1.6364], [2.3633, 4.6743, 1.6364], [-0.0896, -0.0551, 9.4875]],
  "species": ["Tl", "Pr", "Pr", "Pr", "Sn", "Tl", "Pr"],
  "fractional_positions": [[0.2440, 0.2440, 0.2680], [0.8761, 0.8761, 0.3718], [0.1239, 0.1239, 0.6282], [0.3772, 0.3772, 0.8683], [0.0000, 0.0000, 0.0000], [0.7560, 0.7560, 0.7320], [0.6228, 0.6228, 0.1317]]
}

***

B.
{
  "formula": "Pr4Tl2Sn",
  "functional": "GGA-PBE",
  "state": "optimized geometry",
  "magmom_total_mub_per_cell": 0.00,
  "dos_ef_per_ev_atom": 1.06,
  "cell": [[8.3129, -1.1216, -0.1458], [-1.7075, 8.2161, 0.1347], [-3.1969, -3.6412, 6.8533]],
  "species": ["Pr", "Pr", "Tl", "Tl", "Pr", "Sn", "Tl", "Pr", "Sn", "Pr", "Pr", "Pr", "Tl", "Pr"],
  "fractional_positions": [[0.3709, 0.4781, 0.2494], [0.0213, 0.2720, 0.3930], [0.7469, 0.8750, 0.3718], [0.5031, 0.3748, 0.6280], [0.3716, 0.9786, 0.2505], [0.9999, 0.0001, 0.0000], [0.1250, 0.4968, 0.8718], [0.5220, 0.7713, 0.8929], [0.2501, 0.7500, 0.5001], [0.8785, 0.6291, 0.1072], [0.2285, 0.1216, 0.7504], [0.8792, 0.6285, 0.6073], [0.6249, 0.2532, 0.1281], [0.7280, 0.1209, 0.7494]]
}

***

Which of them is most stable? Easy: B.

***

A.
{
  "formula": "PrTl2Sn",
  "functional": "GGA-PBE",
  "state": "optimized geometry",
  "magmom_total_mub_per_cell": 0.00,
  "dos_ef_per_ev_atom": 0.50,
  "cell": [[-3.9861, 0.5870, -3.0246], [-2.7545, -2.1129, 3.2200], [-0.8933, 4.2013, 1.9927]],
  "species": ["Sn", "Tl", "Pr", "Tl"],
  "fractional_positions": [[0.5000, 0.0000, 0.0000], [0.0000, 0.5000, 0.0000], [0.5000, 0.5000, 0.5000], [0.0000, 0.0000, 0.5000]]
}

***

B.
{
  "formula": "PrTl2Sn",
  "functional": "GGA-PBE",
  "state": "optimized geometry",
  "magmom_total_mub_per_cell": 0.00,
  "dos_ef_per_ev_atom": 0.70,
  "cell": [[-0.1884, 2.5846, 2.4893], [1.4170, -0.5369, 3.2582], [10.5037, 4.9663, -1.7681]],
  "species": ["Sn", "Pr", "Tl", "Tl"],
  "fractional_positions": [[0.5000, 0.5000, 0.5000], [0.0000, 0.0000, 0.0000], [0.9068, 0.9068, 0.2796], [0.0932, 0.0932, 0.7204]]
}

***

Which of them is most stable? Easy: A.

***

A.
{
  "formula": "PrTmSn2",
  "functional": "GGA-PBE",
  "state": "optimized geometry",
  "magmom_total_mub_per_cell": 0.00,
  "dos_ef_per_ev_atom": 0.52,
  "cell": [[-3.2521, 1.6240, 1.3312], [-2.1276, -1.8316, 2.6653], [3.0038, 4.0679, 8.0044]],
  "species": ["Sn", "Sn", "Tm", "Pr"],
  "fractional_positions": [[0.7537, 0.7537, 0.7389], [0.2463, 0.2463, 0.2611], [0.5000, 0.5000, 0.5000], [0.0000, 0.0000, 0.0000]]
}

***

B.
{
  "formula": "PrTmSn2",
  "functional": "GGA-PBE",
  "state": "optimized geometry",
  "magmom_total_mub_per_cell": 0.00,
  "dos_ef_per_ev_atom": 0.73,
  "cell": [[4.3015, 0.0000, -1.5643], [0.0000, 4.3544, 0.0000], [-0.1738, 0.0000, 6.2187]],
  "species": ["Tm", "Sn", "Pr", "Sn"],
  "fractional_positions": [[0.7167, 0.0000, 0.9728], [0.9910, 0.0000, 0.5210], [0.4482, 0.5000, 0.4349], [0.1751, 0.5000, 0.8893]]
}

***

Which of them is most stable? Easy: B.

***

A.
{
  "formula": "PrTmSn2",
  "functional": "GGA-PBE",
  "state": "optimized geometry",
  "magmom_total_mub_per_cell": 0.00,
  "dos_ef_per_ev_atom": 0.84,
  "cell": [[4.5433, 0.0000, 0.0000], [0.0000, 4.9036, 0.0000], [0.0000, 0.0000, 4.9036]],
  "species": ["Pr", "Sn", "Tm", "Sn"],
  "fractional_positions": [[0.5000, 0.0000, 0.0000], [0.0000, 0.5000, 0.0000], [0.5000, 0.5000, 0.5000], [0.0000, 0.0000, 0.5000]]
}

***

B.
{
  "formula": "PrTmSn2",
  "functional": "GGA-PBE",
  "state": "optimized geometry",
  "magmom_total_mub_per_cell": 0.00,
  "dos_ef_per_ev_atom": 0.82,
  "cell": [[-2.7198, 1.1996, 1.8496], [1.4692, -1.2037, 2.9410], [4.1999, 7.8215, 1.1031]],
  "species": ["Sn", "Tm", "Sn", "Pr"],
  "fractional_positions": [[0.0000, 0.0000, 0.2375], [0.5000, 0.5000, 0.0000], [0.0000, 0.0000, 0.7625], [0.5000, 0.5000, 0.5000]]
}

***

Which of them is most stable? Easy: B.

***

A.
{
  "formula": "PrTmSn2",
  "functional": "GGA-PBE",
  "state": "optimized geometry",
  "magmom_total_mub_per_cell": 0.00,
  "dos_ef_per_ev_atom": 0.65,
  "cell": [[4.3384, 0.0000, 0.0000], [0.0000, 6.2282, 0.0000], [0.0000, 0.0000, 8.5228]],
  "species": ["Tm", "Sn", "Tm", "Sn", "Sn", "Pr", "Pr", "Sn"],
  "fractional_positions": [[0.5000, 0.3747, 0.3173], [0.5000, 0.0921, 0.9570], [0.5000, 0.6253, 0.8173], [0.5000, 0.9079, 0.4570], [0.0000, 0.4036, 0.0431], [0.0000, 0.8710, 0.1826], [0.0000, 0.1290, 0.6826], [0.0000, 0.5964, 0.5431]]
}

***

B.
{
  "formula": "PrTmSn2",
  "functional": "GGA-PBE",
  "state": "optimized geometry",
  "magmom_total_mub_per_cell": 0.00,
  "dos_ef_per_ev_atom": 0.97,
  "cell": [[5.4241, 0.0000, 0.0000], [2.7121, 4.6974, 0.0000], [2.7121, 1.5658, 4.4288]],
  "species": ["Pr", "Sn", "Sn", "Tm"],
  "fractional_positions": [[0.5000, 0.5000, 0.5000], [0.2500, 0.2500, 0.2500], [0.7500, 0.7500, 0.7500], [0.0000, 0.0000, 0.0000]]
}

***

Which of them is most stable? Easy: A.

***

A.
{
  "formula": "PrTm2Sn",
  "functional": "GGA-PBE",
  "state": "optimized geometry",
  "magmom_total_mub_per_cell": 1.85,
  "dos_ef_per_ev_atom": 1.28,
  "cell": [[-4.2480, 0.6636, -0.1382], [1.8592, -3.1814, -5.4746], [-1.4067, -8.1215, 4.2419]],
  "species": ["Tm", "Sn", "Sn", "Pr", "Tm", "Pr", "Tm", "Tm"],
  "fractional_positions": [[0.6370, 0.2741, 0.4497], [0.2418, 0.4835, 0.2500], [0.7582, 0.5165, 0.7500], [0.0556, 0.1112, 0.7500], [0.6370, 0.2741, 0.0503], [0.9444, 0.8888, 0.2500], [0.3630, 0.7259, 0.9497], [0.3630, 0.7259, 0.5503]]
}

***

B.
{
  "formula": "PrTm2Sn",
  "functional": "GGA-PBE",
  "state": "optimized geometry",
  "magmom_total_mub_per_cell": 1.39,
  "dos_ef_per_ev_atom": 1.19,
  "cell": [[5.4205, 0.0000, 0.0000], [2.7103, 4.6943, 0.0000], [2.7103, 1.5648, 4.4250]],
  "species": ["Tm", "Pr", "Tm", "Sn"],
  "fractional_positions": [[0.7499, 0.7499, 0.7502], [0.0000, 0.0000, 0.0000], [0.2501, 0.2501, 0.2498], [0.5000, 0.5000, 0.5000]]
}

***

C.
{
  "formula": "PrTm2Sn",
  "functional": "GGA-PBE",
  "state": "optimized geometry",
  "magmom_total_mub_per_cell": 0.00,
  "dos_ef_per_ev_atom": 1.31,
  "cell": [[-0.7417, -3.8143, -2.8255], [-0.8437, -2.7411, 3.9218], [-4.7256, 1.1016, -0.2467]],
  "species": ["Pr", "Tm", "Sn", "Tm"],
  "fractional_positions": [[0.5000, 0.5000, 0.5000], [0.0000, 0.0000, 0.5000], [0.5000, 0.0000, 0.0000], [0.0000, 0.5000, 0.0000]]
}

***

D.
{
  "formula": "PrTm2Sn",
  "functional": "GGA-PBE",
  "state": "optimized geometry",
  "magmom_total_mub_per_cell": 0.00,
  "dos_ef_per_ev_atom": 1.34,
  "cell": [[3.7642, 0.0000, 0.0000], [0.0000, 3.7642, 0.0000], [0.0000, 0.0000, 8.3963]],
  "species": ["Tm", "Tm", "Sn", "Pr"],
  "fractional_positions": [[0.0000, 0.0000, 0.2132], [0.0000, 0.0000, 0.7868], [0.5000, 0.5000, 0.0000], [0.5000, 0.5000, 0.5000]]
}

***

Which of them is most stable? Easy: C.